No. 1
Density functional theory data (GGA-PBEsol) for a relaxed Tl3NiIr crystal.

a b c (Å): 5.1737 5.1737 5.1737
angles (deg): 90.00 90.00 90.00
Site moments in Bohr magnetons follow the coordinates.
Element x y z (fractional)
Ni (0.5000, 0.5000, 0.5000)  0.84
Tl (0.0000, 0.0000, 0.5000)  0.00
Tl (0.0000, 0.5000, 0.0000)  0.00
Tl (0.5000, 0.0000, 0.0000)  0.00
Ir (0.0000, 0.0000, 0.0000)  0.00

Summary:
The value obtained for the total magnetization is 0.8 μB per formula unit. The value obtained for the volume is 27.70 Å³ per atom. The mass density is 10.4 g cm⁻³. As for the symmetry: Pm-3m, No. 221. For the energy of formation from the pure elements, the calculation gives 0.825 eV/atom.

No. 2
Density functional theory data (GGA-PBEsol) for a relaxed TlNiIr crystal.

a b c (Å): 4.2613 4.2613 4.2613
angles (deg): 60.00 60.00 60.00
Element x y z (fractional)
Ni (0.5000, 0.5000, 0.5000)
Ir (0.0000, 0.0000, 0.0000)
Tl (0.2500, 0.2500, 0.2500)

Summary:
The value obtained for the total magnetization is 0.0 μB per formula unit. The value obtained for the volume is 18.24 Å³ per atom. The mass density is 13.8 g cm⁻³. As for the symmetry: F-43m, No. 216. For the energy of formation from the pure elements, the calculation gives 0.964 eV/atom.